# CrW2Au (PBE, relaxed)
data_CrW2Au
_chemical_formula_sum 'Cr2 W4 Au2'
_space_group_name_H-M_alt 'I m m m'
_space_group_IT_number 71
_space_group_name_Hall '-I 2 2'
_cell_length_a 3.3659
_cell_length_b 4.3290
_cell_length_c 8.4379
_cell_angle_alpha 90.00
_cell_angle_beta 90.00
_cell_angle_gamma 90.00
loop_
_atom_site_label
_atom_site_fract_x
_atom_site_fract_y
_atom_site_fract_z
Cr1 0.0000 0.0000 0.0000
W1 0.0000 0.5000 0.2686
Au1 0.0000 0.0000 0.5000
# - Total moment: 0.00 μB/f.u.
# - Relative energy among the computed polymorphs: 53 meV per atom
# - Formation enthalpy at 0 K: 1.373 eV/f.u.

# Cr2WAu (PBE, relaxed)
data_Cr2WAu
_chemical_formula_sum 'Cr2 W1 Au1'
_space_group_name_H-M_alt 'P 4 m m'
_space_group_IT_number 99
_space_group_name_Hall 'P 4 -2'
_cell_length_a 2.8965
_cell_length_b 2.8965
_cell_length_c 6.9333
_cell_angle_alpha 90.00
_cell_angle_beta 90.00
_cell_angle_gamma 90.00
loop_
_atom_site_label
_atom_site_fract_x
_atom_site_fract_y
_atom_site_fract_z
Cr1 0.0000 0.0000 0.0000
Cr2 0.5000 0.5000 0.1751
W1 0.0000 0.0000 0.4230
Au1 0.5000 0.5000 0.7229
# - Total moment: 0.86 μB/f.u.
# - Relative energy among the computed polymorphs: 8 meV per atom
# - Formation enthalpy at 0 K: 1.097 eV/f.u.

# CrW2Au (PBE, relaxed)
data_CrW2Au
_chemical_formula_sum 'Cr1 W2 Au1'
_space_group_name_H-M_alt 'P 4 m m'
_space_group_IT_number 99
_space_group_name_Hall 'P 4 -2'
_cell_length_a 3.2285
_cell_length_b 3.2285
_cell_length_c 6.0399
_cell_angle_alpha 90.00
_cell_angle_beta 90.00
_cell_angle_gamma 90.00
loop_
_atom_site_label
_atom_site_fract_x
_atom_site_fract_y
_atom_site_fract_z
Cr1 0.0000 0.0000 0.0000
W1 0.0000 0.0000 0.4605
W2 0.5000 0.5000 0.2196
Au1 0.5000 0.5000 0.7427
# - Total moment: 1.42 μB/f.u.
# - Relative energy among the computed polymorphs: 38 meV per atom
# - Formation enthalpy at 0 K: 1.314 eV/f.u.

# Cr2WAu (PBE, relaxed)
data_Cr2WAu
_chemical_formula_sum 'Cr2 W1 Au1'
_space_group_name_H-M_alt 'P 4/m m m'
_space_group_IT_number 123
_space_group_name_Hall '-P 4 2'
_cell_length_a 2.6762
_cell_length_b 2.6762
_cell_length_c 8.2323
_cell_angle_alpha 90.00
_cell_angle_beta 90.00
_cell_angle_gamma 90.00
loop_
_atom_site_label
_atom_site_fract_x
_atom_site_fract_y
_atom_site_fract_z
Cr1 0.0000 0.0000 0.2452
W1 0.5000 0.5000 0.0000
Au1 0.5000 0.5000 0.5000
# - Total moment: 2.24 μB/f.u.
# - Relative energy among the computed polymorphs: 179 meV per atom
# - Formation enthalpy at 0 K: 1.779 eV/f.u.

# CrW2Au (PBE, relaxed)
data_CrW2Au
_chemical_formula_sum 'Cr1 W2 Au1'
_space_group_name_H-M_alt 'P 1 m 1'
_space_group_IT_number 6
_space_group_name_Hall 'P -2y'
_cell_length_a 2.7283
_cell_length_b 4.3989
_cell_length_c 5.3024
_cell_angle_alpha 90.00
_cell_angle_beta 100.31
_cell_angle_gamma 90.00
loop_
_atom_site_label
_atom_site_fract_x
_atom_site_fract_y
_atom_site_fract_z
Cr1 0.0000 0.0000 0.0000
W1 0.4404 0.0000 0.4512
W2 0.7155 0.5000 0.1939
Au1 0.0403 0.5000 0.7164
# - Total moment: 0.00 μB/f.u.
# - Relative energy among the computed polymorphs: 74 meV per atom
# - Formation enthalpy at 0 K: 1.455 eV/f.u.

# Cr2WAu (PBE, relaxed)
data_Cr2WAu
_chemical_formula_sum 'Cr2 W1 Au1'
_space_group_name_H-M_alt 'P 1 m 1'
_space_group_IT_number 6
_space_group_name_Hall 'P -2y'
_cell_length_a 2.7298
_cell_length_b 3.9075
_cell_length_c 5.5288
_cell_angle_alpha 90.00
_cell_angle_beta 97.93
_cell_angle_gamma 90.00
loop_
_atom_site_label
_atom_site_fract_x
_atom_site_fract_y
_atom_site_fract_z
Cr1 0.0000 0.0000 0.0000
Cr2 0.3850 0.5000 0.1882
W1 0.8448 0.0000 0.4179
Au1 0.4251 0.5000 0.7125
# - Total moment: 0.00 μB/f.u.
# - Relative energy among the computed polymorphs: 66 meV per atom
# - Formation enthalpy at 0 K: 1.327 eV/f.u.